Record 1
ZrSb2Te after structural relaxation. Source: Alexandria, functional PBE.

Output
Space group: No. 139
Formation energy without anion corrections: -98.8 meV/atom
Total magnetization: 0.0 μB/cell
E_tot: -5.082 eV/atom

CIF file:
```
data_ZrSb2Te
_chemical_formula_sum 'Zr1 Sb2 Te1'
_cell_length_a 6.036
_cell_length_b 6.036
_cell_length_c 6.036
_cell_angle_alpha 136.83
_cell_angle_beta 136.83
_cell_angle_gamma 62.70
_space_group_name_H-M_alt 'P 1'
_space_group_IT_number 1
loop_
_space_group_symop_operation_xyz
'x,y,z'
loop_
_atom_site_label
_atom_site_fract_x
_atom_site_fract_y
_atom_site_fract_z
_atom_site_occupancy
Sb1 0.000 0.000 0.000 1
Sb2 0.500 0.500 0.000 1
Zr1 0.750 0.250 0.500 1
Te1 0.250 0.750 0.500 1
```



Record 2
Er3ZnGe3 after structural relaxation. Source: Alexandria, functional PBE.

Output
Space group: No. 12
Total magnetization: 0.0 μB/cell
Energy of formation from the pure elements: -0.732 eV per atom
E_tot: -4.848 eV/atom

CIF file:
```
data_Er3ZnGe3
_chemical_formula_sum 'Er6 Zn2 Ge6'
_cell_length_a 4.217
_cell_length_b 5.771
_cell_length_c 13.231
_cell_angle_alpha 82.97
_cell_angle_beta 80.83
_cell_angle_gamma 68.57
_space_group_name_H-M_alt 'P 1'
_space_group_IT_number 1
loop_
_space_group_symop_operation_xyz
'x,y,z'
loop_
_atom_site_label
_atom_site_fract_x
_atom_site_fract_y
_atom_site_fract_z
_atom_site_occupancy
Er1 0.481 0.662 0.377 1
Er2 0.519 0.338 0.623 1
Er3 0.603 0.715 0.078 1
Er4 0.261 0.252 0.225 1
Er5 0.739 0.748 0.775 1
Er6 0.397 0.285 0.922 1
Ge1 0.120 0.835 0.925 1
Ge2 0.880 0.165 0.075 1
Ge3 0.864 0.726 0.547 1
Ge4 0.017 0.192 0.773 1
Ge5 0.983 0.808 0.227 1
Ge6 0.136 0.274 0.453 1
Zn1 0.230 0.929 0.611 1
Zn2 0.770 0.071 0.389 1
```



Record 3
ZnAuSe2 after structural relaxation. Source: Alexandria, functional PBE.

Output
Space group: No. 47
Formation energy without anion corrections: 230.3 meV/atom
Total magnetization: 0.0 μB/cell
E_tot: -2.650 eV/atom

CIF file:
```
data_ZnAuSe2
_chemical_formula_sum 'Zn1 Au1 Se2'
_cell_length_a 2.828
_cell_length_b 3.724
_cell_length_c 7.449
_cell_angle_alpha 90.00
_cell_angle_beta 90.00
_cell_angle_gamma 90.00
_space_group_name_H-M_alt 'P 1'
_space_group_IT_number 1
loop_
_space_group_symop_operation_xyz
'x,y,z'
loop_
_atom_site_label
_atom_site_fract_x
_atom_site_fract_y
_atom_site_fract_z
_atom_site_occupancy
Se1 0.000 0.000 0.018 1
Se2 0.000 0.000 0.482 1
Zn1 0.500 0.500 0.250 1
Au1 0.500 0.500 0.750 1
```



Record 4
In13Hg3 after structural relaxation. Source: Alexandria, functional PBE.

Output
Space group: No. 38
Total magnetization: 0.0 μB/cell
Energy of formation from the pure elements: 0.010 eV per atom
E_tot: -2.271 eV/atom

CIF file:
```
data_In13Hg3
_chemical_formula_sum 'In13 Hg3'
_cell_length_a 7.000
_cell_length_b 7.000
_cell_length_c 8.812
_cell_angle_alpha 90.00
_cell_angle_beta 90.00
_cell_angle_gamma 97.19
_space_group_name_H-M_alt 'P 1'
_space_group_IT_number 1
loop_
_space_group_symop_operation_xyz
'x,y,z'
loop_
_atom_site_label
_atom_site_fract_x
_atom_site_fract_y
_atom_site_fract_z
_atom_site_occupancy
In1 0.243 0.243 0.500 1
In2 0.757 0.757 0.500 1
In3 0.499 0.501 0.751 1
In4 0.506 0.005 0.754 1
In5 0.749 0.251 0.500 1
In6 0.506 0.005 0.246 1
In7 0.499 0.501 0.249 1
In8 0.250 0.750 0.000 1
In9 0.253 0.747 0.500 1
In10 0.759 0.763 0.000 1
In11 0.995 0.494 0.246 1
In12 0.237 0.241 0.000 1
In13 0.995 0.494 0.754 1
Hg1 0.003 0.997 0.252 1
Hg2 0.003 0.997 0.748 1
Hg3 0.744 0.256 0.000 1
```